(1)
Computed, not measured: a relaxed LaCu2Rh crystal at the GGA-PBE level of DFT.

ΔE_f	-1.261	eV per formula unit

Lattice parameters (Å, degrees): 4.294 4.294 5.424 66.92 66.92 59.96
Fractional positions:
Rh 0.297 0.297 0.109
Cu 0.002 0.002 0.993
Cu 0.699 0.699 0.902
La 0.501 0.501 0.495

(2)
Computed, not measured: a relaxed LaCuRh3 crystal at the GGA-PBE level of DFT.

ΔE_f	6.167	eV per formula unit
ΔE to the lowest computed polymorph	100.90	kJ per mole of atoms

Lattice parameters (Å, degrees): 4.869 4.869 4.869 90.00 90.00 90.00
Fractional positions:
Rh 0.000 0.500 0.000
Rh 0.000 0.000 0.500
Rh 0.500 0.000 0.000
Cu 0.500 0.500 0.500
La 0.000 0.000 0.000

(3)
Computed, not measured: a relaxed La3Cu2Rh7 crystal at the GGA-PBE level of DFT.

ΔE_f	-6.423	eV per formula unit

Lattice parameters (Å, degrees): 5.402 5.402 9.146 72.82 72.82 60.00
Fractional positions:
La 0.000 0.000 0.000
La 0.861 0.861 0.418
La 0.139 0.139 0.582
Cu 0.666 0.666 0.002
Cu 0.334 0.334 0.998
Rh 0.500 0.500 0.500
Rh 0.922 0.417 0.243
Rh 0.417 0.922 0.243
Rh 0.417 0.417 0.243
Rh 0.078 0.583 0.757
Rh 0.583 0.583 0.757
Rh 0.583 0.078 0.757

(4)
Computed, not measured: a relaxed La4CuRh2 crystal at the GGA-PBE level of DFT.

ΔE_f	-3.511	eV per formula unit

Lattice parameters (Å, degrees): 7.460 7.460 7.797 106.36 106.36 74.08
Fractional positions:
Rh 0.355 0.355 0.704
Rh 0.343 0.343 0.192
Rh 0.909 0.415 0.612
Rh 0.415 0.909 0.612
Cu 0.843 0.843 0.192
Cu 0.837 0.837 0.701
La 0.119 0.119 0.829
La 0.623 0.624 0.349
La 0.129 0.129 0.354
La 0.618 0.149 0.966
La 0.148 0.618 0.966
La 0.622 0.622 0.832
La 0.155 0.632 0.471
La 0.632 0.155 0.471

(5)
Computed, not measured: a relaxed La8Cu2Rh crystal at the GGA-PBE level of DFT.

ΔE_f	-2.043	eV per formula unit
ΔE to the lowest computed polymorph	0.00	kJ per mole of atoms

Lattice parameters (Å, degrees): 3.985 9.316 9.584 93.57 102.00 90.00
Fractional positions:
Rh 0.500 0.000 0.000
Cu 0.164 0.737 0.327
Cu 0.836 0.263 0.673
La 0.593 0.512 0.186
La 0.343 0.011 0.686
La 0.227 0.334 0.454
La 0.995 0.786 0.990
La 0.773 0.666 0.546
La 0.657 0.989 0.314
La 0.407 0.488 0.814
La 0.005 0.214 0.010

(6)
Computed, not measured: a relaxed La2Cu2Rh crystal at the GGA-PBE level of DFT.

ΔE_f	-1.267	eV per formula unit
ΔE to the lowest computed polymorph	13.70	kJ per mole of atoms

Lattice parameters (Å, degrees): 3.534 3.534 9.083 78.78 78.78 90.00
Fractional positions:
Rh 0.000 0.000 0.000
Cu 0.750 0.250 0.500
Cu 0.250 0.750 0.500
La 0.398 0.398 0.204
La 0.602 0.602 0.796

| no. | M_tot (μB/atom) | raw total energy (eV per atom) |
| --- | --- | --- |
| 1 | 0.0000 | -5.4331 |
| 2 | 0.0000 | -4.9823 |
| 3 | 0.0000 | -6.7381 |
| 4 | 0.0000 | -6.0028 |
| 5 | 0.0001 | -5.1824 |
| 6 | 0.0000 | -5.3331 |